# 1
A relaxed structure of Ba8AsP3Br4. Source: Alexandria via LeMat-Bulk, functional GGA-PBE.

The space group is R-3m (No. 166, hexagonal axes) and the conventional cell measures 9.4647, 9.4647 and 23.9946 Å, with angles of 90.00, 90.00 and 120.00 degrees. Symmetry generates all atoms from Ba at (0.0000, 0.0000, 0.2371), Ba at (0.0042, 0.5021, 0.7621), As at (0.0000, 0.0000, 0.5000), P at (0.0000, 0.5000, 0.5000), Br at (0.0000, 0.0000, 0.0000) and Br at (0.0000, 0.5000, 0.0000).

The calculation puts the electronic total energy at -204.40 eV/cell.

=====

# 2
A relaxed structure of Ba2AsPBr. Source: Alexandria via LeMat-Bulk, functional GGA-PBE.

The space group is P4/mmm (No. 123) and the conventional cell measures 6.158, 6.158 and 5.038 Å, with angles of 90.00, 90.00 and 90.00 degrees. Symmetry generates all atoms from Ba at (0.000, 0.500, 0.000), As at (0.000, 0.000, 0.500), P at (0.500, 0.500, 0.500) and Br at (0.000, 0.000, 0.000).

For the density of states at the Fermi level, the calculation gives 0.893 states/eV per atom. The calculation puts the electronic total energy at -16.97 eV/cell.

=====

# 3
A relaxed structure of BaAs2PBr. Source: Alexandria via LeMat-Bulk, functional GGA-PBE.

The space group is P4/mmm (No. 123) and the conventional cell measures 4.753, 4.753 and 6.342 Å, with angles of 90.00, 90.00 and 90.00 degrees. Symmetry generates all atoms from Ba at (0.000, 0.000, 0.000), As at (0.000, 0.500, 0.500), P at (0.500, 0.500, 0.500) and Br at (0.500, 0.500, 0.000).

For the density of states at the Fermi level, the calculation gives 0.416 states/eV per atom. The calculation puts the electronic total energy at -20.27 eV/cell. Its relative energy among the computed polymorphs is 0 meV per atom.

=====

# 4
A relaxed structure of BaAsPBr2. Source: Alexandria via LeMat-Bulk, functional GGA-PBE.

The space group is P4/mmm (No. 123) and the conventional cell measures 5.516, 5.516 and 4.809 Å, with angles of 90.00, 90.00 and 90.00 degrees. Symmetry generates all atoms from Ba at (0.000, 0.000, 0.000), As at (0.500, 0.500, 0.000), P at (0.500, 0.500, 0.500) and Br at (0.000, 0.500, 0.500).

For the density of states at the Fermi level, the calculation gives 0.175 states/eV per atom. The calculation puts the electronic total energy at -18.29 eV/cell. Its relative energy among the computed polymorphs is 0 meV per atom.

=====

# 5
A relaxed structure of BaAsPBr2. Source: Alexandria via LeMat-Bulk, functional GGA-PBE.

The space group is P4/mmm (No. 123) and the conventional cell measures 6.292, 6.292 and 7.695 Å, with angles of 90.00, 90.00 and 90.00 degrees. Symmetry generates all atoms from Ba at (0.000, 0.000, 0.000), As at (0.000, 0.000, 0.500), P at (0.500, 0.500, 0.500) and Br at (0.000, 0.500, 0.000).

For the density of states at the Fermi level, the calculation gives 0.135 states/eV per atom. The calculation puts the electronic total energy at -14.42 eV/cell. Its relative energy among the computed polymorphs is 774 meV per atom.

=====

# 6
A relaxed structure of Ba8As3PBr3. Source: Alexandria via LeMat-Bulk, functional GGA-PBE.

The space group is R-3m (No. 166, hexagonal axes) and the conventional cell measures 9.5863, 9.5863 and 23.8320 Å, with angles of 90.00, 90.00 and 120.00 degrees. Symmetry generates all atoms from Ba at (0.0000, 0.0000, 0.2393), Ba at (0.0042, 0.5021, 0.2385), As at (0.0000, 0.5000, 0.5000), P at (0.0000, 0.0000, 0.5000) and Br at (0.0000, 0.5000, 0.0000).

For the density of states at the Fermi level, the calculation gives 0.142 states/eV per atom. The calculation puts the electronic total energy at -184.24 eV/cell.

=====

The following E_form (uncorrected) values (in eV per atom) correspond, in order, to the records above: -1.5737 -0.2783 -0.3924 -0.5929 0.1813 -1.4437.